Entry from Alexandria via LeMat-Bulk: a relaxed structure of Zn2FeBr (PBE).

The structure in POSCAR format:
```
Zn2FeBr
1.0
8.271 0.000 0.000
0.000 8.271 0.000
4.136 4.136 2.451
Zn Br Fe
4 2 2
Direct
0.875 0.807 0.750
0.193 0.625 0.250
0.557 0.125 0.250
0.375 0.443 0.750
0.750 0.250 0.500
0.000 0.000 0.000
0.500 0.500 0.000
0.250 0.750 0.500
```

Output
Formation energy (no corrections) in eV/atom: 0.42
D(E_F) in states/eV/atom: 0.59
Energy above the most stable polymorph in this dataset in kJ/mol of formula units: 114
SG: I-42d



Entry from Alexandria via LeMat-Bulk: a relaxed structure of TbCeAu4 (PBE).

The structure in POSCAR format:
```
TbCeAu4
1.0
3.796 0.000 0.000
0.000 3.796 0.000
0.000 0.000 9.261
Au Tb Ce
4 1 1
Direct
0.500 0.500 0.828
0.000 0.000 0.339
0.000 0.000 0.661
0.500 0.500 0.172
0.500 0.500 0.500
0.000 0.000 0.000
```

Output
D(E_F) in states/eV/atom: 1.23
Energy above the most stable polymorph in this dataset in kJ/mol of formula units: 0
SG: P4/mmm



Entry from Alexandria via LeMat-Bulk: a relaxed structure of KAg4 (PBE).

The structure in POSCAR format:
```
KAg4
1.0
3.709 -5.584 2.472
0.483 -2.500 6.675
-4.505 2.216 -5.083
K Ag
1 4
Direct
0.000 0.000 0.000
0.750 0.250 0.500
0.608 0.608 0.000
0.392 0.392 0.000
0.250 0.750 0.500
```

Output
D(E_F) in states/eV/atom: 0.34
Energy above the most stable polymorph in this dataset in kJ/mol of formula units: 0
SG: I4/mmm



Entry from Alexandria via LeMat-Bulk: a relaxed structure of YLuIr (PBE).

The structure in POSCAR format:
```
YLuIr
1.0
3.426 0.000 0.000
0.000 3.426 0.000
-1.713 -1.713 6.291
Lu Y Ir
1 1 1
Direct
0.039 0.039 0.078
0.298 0.298 0.596
0.663 0.663 0.326
```

Output
D(E_F) in states/eV/atom: 1.13
Energy above the most stable polymorph in this dataset in kJ/mol of formula units: 33
SG: I4mm



Entry from Alexandria via LeMat-Bulk: a relaxed structure of KPuPbBr6 (PBE).

The structure in POSCAR format:
```
KPuPbBr6
1.0
-6.195 -3.659 -0.088
2.105 -3.704 5.799
-5.787 9.599 8.232
K Pu Br Pb
2 2 12 2
Direct
0.500 0.500 0.499
0.000 0.000 0.999
0.000 0.000 0.333
0.500 0.500 0.833
0.699 0.699 0.684
0.181 0.819 0.493
0.716 0.716 0.323
0.819 0.181 0.493
0.784 0.216 0.823
0.284 0.284 0.323
0.216 0.784 0.823
0.319 0.319 0.993
0.301 0.301 0.684
0.681 0.681 0.993
0.199 0.801 0.184
0.801 0.199 0.184
0.000 0.000 0.667
0.500 0.500 0.167
```

Output
Formation energy (no corrections) in eV/atom: -1.36
D(E_F) in states/eV/atom: 1.45
SG: P4_2nm



Entry from Alexandria via LeMat-Bulk: a relaxed structure of ThPaB (PBE).

The structure in POSCAR format:
```
ThPaB
1.0
3.276 0.000 0.000
0.000 3.502 0.000
0.000 1.751 11.210
B Pa Th
2 2 2
Direct
0.750 0.484 0.031
0.250 0.516 0.969
0.250 0.929 0.142
0.750 0.071 0.858
0.250 0.691 0.617
0.750 0.309 0.383
```

Output
D(E_F) in states/eV/atom: 1.33
Energy above the most stable polymorph in this dataset in kJ/mol of formula units: 0
SG: Cmcm



Entry from Alexandria via LeMat-Bulk: a relaxed structure of AcHOs2O8 (PBE).

The structure in POSCAR format:
```
AcHOs2O8
1.0
5.412 -0.683 0.873
1.890 5.117 0.873
1.931 1.172 9.058
O Os H Ac
8 2 1 1
Direct
0.847 0.847 0.059
0.263 0.263 0.547
0.737 0.737 0.453
0.153 0.153 0.941
0.611 0.117 0.712
0.389 0.883 0.288
0.883 0.389 0.288
0.117 0.611 0.712
0.715 0.715 0.270
0.285 0.285 0.730
0.000 0.000 0.000
0.000 0.000 0.500
```

Output
Final energy in eV/cell: -85.8
SG: C2/m



Entry from Alexandria via LeMat-Bulk: a relaxed structure of SrHg2Pt2 (PBE).

The structure in POSCAR format:
```
SrHg2Pt2
1.0
8.247 0.000 0.000
0.000 8.247 0.000
0.000 0.000 3.143
Hg Sr Pt
4 2 4
Direct
0.124 0.376 0.000
0.876 0.624 0.000
0.376 0.876 0.000
0.624 0.124 0.000
0.500 0.500 0.000
0.000 0.000 0.000
0.324 0.176 0.500
0.824 0.324 0.500
0.676 0.824 0.500
0.176 0.676 0.500
```

Output
D(E_F) in states/eV/atom: 0.33
Energy above the most stable polymorph in this dataset in kJ/mol of formula units: 82
SG: P4/mbm